Here is a relaxed Rb2NaSbF6 crystal from Alexandria. Energies are from PBE.

Calculated values
Formation energy (no corrections) (eV per formula unit): -26.36
Magnetization (μB per cell): 0.00
E_tot (eV per atom): -4.4966

```
Rb2NaSbF6
1.0
0.000 4.521 4.521
4.521 0.000 4.521
4.521 4.521 0.000
Rb Na Sb F
2 1 1 6
Direct
0.250 0.250 0.250 Rb
0.750 0.750 0.750 Rb
0.000 0.000 0.000 Na
0.500 0.500 0.500 Sb
0.256 0.256 0.744 F
0.256 0.744 0.256 F
0.256 0.744 0.744 F
0.744 0.256 0.256 F
0.744 0.256 0.744 F
0.744 0.744 0.256 F
```



Here is a relaxed Rb3Na2ScF9 crystal from Alexandria. Energies are from PBE.

Calculated values
Formation energy (no corrections) (eV per formula unit): -44.01
Magnetization (μB per cell): 1.15
E_tot (eV per atom): -4.8482

```
Rb3Na2ScF9
1.0
6.151 0.000 0.000
-3.076 5.327 0.000
0.000 0.000 7.795
Rb Na Sc F
3 2 1 9
Direct
0.000 0.000 0.000 Rb
0.333 0.667 0.681 Rb
0.667 0.333 0.319 Rb
0.333 0.667 0.187 Na
0.667 0.333 0.813 Na
0.000 0.000 0.500 Sc
0.000 0.500 0.000 F
0.156 0.311 0.349 F
0.156 0.844 0.349 F
0.311 0.156 0.651 F
0.500 0.000 0.000 F
0.500 0.500 0.000 F
0.689 0.844 0.349 F
0.844 0.156 0.651 F
0.844 0.689 0.651 F
```



Here is a relaxed RbNa2SiF8 crystal from Alexandria. Energies are from PBE.

Calculated values
Formation energy (no corrections) (eV per formula unit): -32.42
Magnetization (μB per cell): 1.06
E_tot (eV per atom): -4.7015

```
RbNa2SiF8
1.0
5.285 0.000 0.000
-2.643 4.577 0.000
0.000 0.000 7.453
Rb Na Si F
1 2 1 8
Direct
0.000 0.000 0.000 Rb
0.333 0.667 0.370 Na
0.667 0.333 0.630 Na
0.000 0.000 0.500 Si
0.153 0.306 0.632 F
0.153 0.847 0.632 F
0.306 0.153 0.368 F
0.333 0.667 0.059 F
0.667 0.333 0.941 F
0.694 0.847 0.632 F
0.847 0.153 0.368 F
0.847 0.694 0.368 F
```



Here is a relaxed Rb2NaSiF8 crystal from Alexandria. Energies are from PBE.

Calculated values
Formation energy (no corrections) (eV per formula unit): -31.98
Magnetization (μB per cell): 1.00
E_tot (eV per atom): -4.6359

```
Rb2NaSiF8
1.0
6.385 0.000 0.000
-3.193 5.530 0.000
0.000 0.000 6.139
Rb Na Si F
2 1 1 8
Direct
0.333 0.667 0.372 Rb
0.667 0.333 0.628 Rb
0.000 0.000 0.000 Na
0.000 0.000 0.500 Si
0.126 0.251 0.664 F
0.126 0.874 0.664 F
0.251 0.126 0.336 F
0.333 0.667 0.939 F
0.667 0.333 0.061 F
0.749 0.874 0.664 F
0.874 0.126 0.336 F
0.874 0.749 0.336 F
```



Here is a relaxed RbNaSiF6 crystal from Alexandria. Energies are from PBE.

Calculated values
Formation energy (no corrections) (eV per formula unit): -28.00
Magnetization (μB per cell): 0.01
E_tot (eV per atom): -5.2152

```
RbNaSiF6
1.0
5.594 0.000 0.000
-2.797 4.845 0.000
0.000 0.000 5.649
Rb Na Si F
1 1 1 6
Direct
0.000 0.000 0.000 Rb
0.333 0.667 0.500 Na
0.667 0.333 0.500 Si
0.419 0.077 0.675 F
0.419 0.341 0.325 F
0.659 0.077 0.325 F
0.659 0.581 0.675 F
0.923 0.341 0.675 F
0.923 0.581 0.325 F
```



Here is a relaxed Rb2NaSiF6 crystal from Alexandria. Energies are from PBE.

Calculated values
Formation energy (no corrections) (eV per formula unit): -27.02
Magnetization (μB per cell): 0.00
E_tot (eV per atom): -4.6922

```
Rb2NaSiF6
1.0
-3.181 3.181 4.529
3.181 -3.181 4.529
3.181 3.181 -4.529
Rb Na Si F
2 1 1 6
Direct
0.250 0.750 0.500 Rb
0.750 0.250 0.500 Rb
0.000 0.000 0.000 Na
0.500 0.500 0.000 Si
0.306 0.306 0.613 F
0.306 0.694 0.000 F
0.308 0.308 0.000 F
0.692 0.692 0.000 F
0.694 0.306 0.000 F
0.694 0.694 0.387 F
```